This record from the Alexandria database describes a geometry-optimized CsBaSr2Ge structure. The functional is PBE-GGA.

a = 6.3896 Å, b = 6.3896 Å, c = 6.7499 Å
α = 90.00°, β = 90.00°, γ = 90.00°
Last column: nearest neighbours and their distance in Å.
Fractional coordinates of all 5 atoms:
1 Cs 0.5000 0.5000 0.5000  4 Ba 4.52, 8 Sr 4.65
2 Sr 0.0000 0.5000 0.0000  2 Ge 3.19
3 Sr 0.5000 0.0000 0.0000  2 Ge 3.19
4 Ge 0.0000 0.0000 0.0000  4 Sr 3.19, 2 Ba 3.37
5 Ba 0.0000 0.0000 0.5000  2 Ge 3.37

- uncorrected energy (eV per atom) = -2.3027
- calculated density (g/cm3) = 3.12
- symmetry = P4/mmm (123)